{"formula": "ReGe3", "functional": "GGA-PBE", "state": "optimized geometry", "lattice_angstrom": [[3.182, 0.000, 0.000], [0.000, 5.593, 0.000], [-1.591, -2.796, 3.840]], "species": ["Re", "Ge", "Ge", "Ge"], "frac_coords": [[0.000, 0.092, 0.000], [0.310, 0.626, 0.620], [0.500, 0.441, 0.000], [0.690, 0.007, 0.380]], "ef_ev_per_fu": 0.5, "dft_energy_ev_per_atom": -6.45}

=====

{"formula": "Sm4CoSn8", "functional": "GGA-PBE", "state": "optimized geometry", "lattice_angstrom": [[4.445, 0.000, 0.000], [0.000, 4.508, 0.000], [0.000, 0.000, 16.809]], "species": ["Sm", "Sm", "Sm", "Sm", "Co", "Sn", "Sn", "Sn", "Sn", "Sn", "Sn", "Sn", "Sn"], "frac_coords": [[0.000, 0.000, 0.098], [0.000, 0.500, 0.603], [0.500, 0.500, 0.396], [0.500, 0.000, 0.900], [0.000, 0.000, 0.307], [0.000, 0.000, 0.453], [0.000, 0.500, 0.935], [0.500, 0.500, 0.059], [0.500, 0.000, 0.571], [0.000, 0.500, 0.239], [0.000, 0.000, 0.751], [0.500, 0.000, 0.238], [0.500, 0.500, 0.753]], "ef_ev_per_fu": -7.6, "dft_energy_ev_per_atom": -5.05}